#P
A relaxed Na2NbRu crystal, computed with PBE-GGA.

Lattice parameters (Å, degrees): 8.433 8.433 4.883 90.00 90.00 90.00
Space group I-42d (No. 122)
One atom of each set of equivalent atoms:
Na 0.214 0.750 0.125
Nb 0.000 0.000 0.500
Ru 0.000 0.000 0.000

Calculated values
As for the crystal system: tetragonal. For the density of states at the Fermi level, the calculation gives 1.04 states/eV per atom. The total magnetic moment is 1.37 μB per formula unit.


#Q
A relaxed Na2NbRu crystal, computed with PBE-GGA.

Lattice parameters (Å, degrees): 6.652 6.652 6.652 90.00 90.00 90.00
Space group Fm-3m (No. 225)
One atom of each set of equivalent atoms:
Na 0.250 0.250 0.250
Nb 0.000 0.000 0.000
Ru 0.000 0.000 0.500

Calculated values
As for the crystal system: cubic. For the density of states at the Fermi level, the calculation gives 1.30 states/eV per atom. The total magnetic moment is 0.00 μB per formula unit.


Of them, #Q has the lowest stability.


#P
A relaxed NaNbS3 crystal, computed with PBE-GGA.

Lattice parameters (Å, degrees): 13.606 9.754 6.508 90.00 91.97 90.00
Space group C2/c (No. 15)
One atom of each set of equivalent atoms:
Na 0.000 0.140 0.250
Na 0.000 0.343 0.750
Nb 0.240 0.055 0.878
S 0.120 0.081 0.606
S 0.132 0.447 0.422
S 0.190 0.206 0.158

Calculated values
As for the crystal system: monoclinic. The total magnetic moment is 0.00 μB per formula unit.


#Q
A relaxed NaNbS3 crystal, computed with PBE-GGA.

Lattice parameters (Å, degrees): 9.139 13.238 3.513 90.00 90.00 90.00
Space group Cmmm (No. 65)
One atom of each set of equivalent atoms:
Na 0.000 0.000 0.000
Na 0.000 0.500 0.500
Nb 0.250 0.250 0.000
S 0.000 0.325 0.000
S 0.178 0.131 0.500

Calculated values
As for the crystal system: orthorhombic. For the density of states at the Fermi level, the calculation gives 0.17 states/eV per atom. The total magnetic moment is 0.00 μB per formula unit.


Of them, #Q has the lowest stability.


#P
A relaxed NaNb6S8 crystal, computed with PBE-GGA.

Lattice parameters (Å, degrees): 9.5251 9.5251 11.7701 90.00 90.00 120.00
Space group R-3 (No. 148, hexagonal axes)
One atom of each set of equivalent atoms:
Na 0.0000 0.0000 0.0000
Nb 0.0159 0.1815 0.3874
S 0.0000 0.0000 0.2297
S 0.0207 0.3759 0.2422

Calculated values
As for the crystal system: trigonal. For the density of states at the Fermi level, the calculation gives 0.55 states/eV per atom. The total magnetic moment is 0.00 μB per formula unit.


#Q
A relaxed NaNb6S8 crystal, computed with PBE-GGA.

Lattice parameters (Å, degrees): 9.6312 9.6312 3.4293 90.00 90.00 120.00
Space group P-3 (No. 147)
One atom of each set of equivalent atoms:
Na 0.0000 0.0000 0.0000
Nb 0.1120 0.4870 0.7505
S 0.0553 0.7145 0.7490
S 0.3333 0.6667 0.2503

Calculated values
As for the crystal system: trigonal. For the density of states at the Fermi level, the calculation gives 0.24 states/eV per atom. The total magnetic moment is 0.00 μB per formula unit.


Of them, #P has the lowest stability.


#P
A relaxed NaNb2S4 crystal, computed with PBE-GGA.

Lattice parameters (Å, degrees): 3.4097 3.4097 14.1235 90.00 90.00 120.00
Space group P3m1 (No. 156)
One atom of each set of equivalent atoms:
Na 0.0000 0.0000 0.0000
Nb 0.0000 0.0000 0.7428
Nb 0.6667 0.3333 0.2550
S 0.3333 0.6667 0.1430
S 0.3333 0.6667 0.3620
S 0.3333 0.6667 0.6358
S 0.3333 0.6667 0.8549

Calculated values
As for the crystal system: trigonal. For the density of states at the Fermi level, the calculation gives 0.54 states/eV per atom. The total magnetic moment is 0.00 μB per formula unit.


#Q
A relaxed NaNb2S4 crystal, computed with PBE-GGA.

Lattice parameters (Å, degrees): 7.730 7.730 9.551 90.00 90.00 90.00
Space group I4_1md (No. 109)
One atom of each set of equivalent atoms:
Na 0.000 0.000 0.000
Nb 0.000 0.289 0.704
S 0.000 0.240 0.441
S 0.000 0.317 0.959

Calculated values
As for the crystal system: tetragonal. For the density of states at the Fermi level, the calculation gives 0.57 states/eV per atom. The total magnetic moment is 0.00 μB per formula unit.


Of them, #Q has the lowest stability.


#P
A relaxed NaNb2Sb2 crystal, computed with PBE-GGA.

Lattice parameters (Å, degrees): 4.219 4.219 13.576 90.00 90.00 90.00
Space group I4/mmm (No. 139)
One atom of each set of equivalent atoms:
Na 0.000 0.000 0.000
Nb 0.000 0.500 0.250
Sb 0.000 0.000 0.389

Calculated values
As for the crystal system: tetragonal. For the density of states at the Fermi level, the calculation gives 0.40 states/eV per atom. The total magnetic moment is 0.00 μB per formula unit.


#Q
A relaxed NaNb2Sb2 crystal, computed with PBE-GGA.

Lattice parameters (Å, degrees): 7.925 7.925 3.499 90.00 90.00 90.00
Space group P4/mbm (No. 127)
One atom of each set of equivalent atoms:
Na 0.000 0.000 0.000
Nb 0.133 0.367 0.500
Sb 0.154 0.654 0.000

Calculated values
As for the crystal system: tetragonal. For the density of states at the Fermi level, the calculation gives 1.08 states/eV per atom. The total magnetic moment is 0.00 μB per formula unit.


#R
A relaxed NaNb2Sb2 crystal, computed with PBE-GGA.

Lattice parameters (Å, degrees): 5.358 5.358 8.740 90.00 90.00 90.00
Space group I4/mmm (No. 139)
One atom of each set of equivalent atoms:
Na 0.000 0.000 0.000
Nb 0.000 0.000 0.363
Sb 0.000 0.500 0.250

Calculated values
As for the crystal system: tetragonal. For the density of states at the Fermi level, the calculation gives 0.83 states/eV per atom. The total magnetic moment is 0.00 μB per formula unit.


Of them, #R has the lowest stability.


#P
A relaxed NaNbSb2 crystal, computed with PBE-GGA.

Lattice parameters (Å, degrees): 7.129 7.129 7.129 90.00 90.00 90.00
Space group Fm-3m (No. 225)
One atom of each set of equivalent atoms:
Na 0.000 0.000 0.000
Nb 0.000 0.000 0.500
Sb 0.250 0.250 0.250

Calculated values
As for the crystal system: cubic. For the density of states at the Fermi level, the calculation gives 0.76 states/eV per atom. The total magnetic moment is 1.61 μB per formula unit.


#Q
A relaxed NaNbSb2 crystal, computed with PBE-GGA.

Lattice parameters (Å, degrees): 3.467 3.467 8.044 90.00 90.00 90.00
Space group P4/mmm (No. 123)
One atom of each set of equivalent atoms:
Na 0.000 0.000 0.000
Nb 0.000 0.000 0.500
Sb 0.500 0.500 0.295

Calculated values
As for the crystal system: tetragonal. For the density of states at the Fermi level, the calculation gives 0.87 states/eV per atom. The total magnetic moment is 0.50 μB per formula unit.


Of them, #P has the lowest stability.


#P
A relaxed NaNbSb2 crystal, computed with PBE-GGA.

Lattice parameters (Å, degrees): 7.063 7.063 12.195 90.00 90.00 90.00
Space group I-42d (No. 122)
One atom of each set of equivalent atoms:
Na 0.000 0.000 0.000
Nb 0.000 0.000 0.500
Sb 0.185 0.250 0.625

Calculated values
As for the crystal system: tetragonal. For the density of states at the Fermi level, the calculation gives 0.00 states/eV per atom. The total magnetic moment is 0.00 μB per formula unit.


#Q
A relaxed NaNbSb2 crystal, computed with PBE-GGA.

Lattice parameters (Å, degrees): 3.5459 3.5459 27.3238 90.00 90.00 120.00
Space group R-3m (No. 166, hexagonal axes)
One atom of each set of equivalent atoms:
Na 0.0000 0.0000 0.0000
Nb 0.0000 0.0000 0.5000
Sb 0.0000 0.0000 0.2390

Calculated values
As for the crystal system: trigonal. For the density of states at the Fermi level, the calculation gives 0.32 states/eV per atom. The total magnetic moment is 0.00 μB per formula unit.


Of them, #P has the lowest stability.


#P
A relaxed NaNb3Sb crystal, computed with PBE-GGA.

Lattice parameters (Å, degrees): 4.712 4.712 4.712 90.00 90.00 90.00
Space group Pm-3m (No. 221)
One atom of each set of equivalent atoms:
Na 0.000 0.000 0.000
Nb 0.000 0.000 0.500
Sb 0.500 0.500 0.500

Calculated values
As for the crystal system: cubic. For the density of states at the Fermi level, the calculation gives 1.50 states/eV per atom. The total magnetic moment is 0.00 μB per formula unit.


#Q
A relaxed NaNb3Sb crystal, computed with PBE-GGA.

Lattice parameters (Å, degrees): 5.149 5.149 5.149 90.00 90.00 90.00
Space group Pm-3m (No. 221)
One atom of each set of equivalent atoms:
Na 0.000 0.000 0.000
Nb 0.000 0.500 0.500
Sb 0.500 0.500 0.500

Calculated values
As for the crystal system: cubic. For the density of states at the Fermi level, the calculation gives 1.60 states/eV per atom. The total magnetic moment is 0.00 μB per formula unit.


Of them, #P has the lowest stability.


#P
A relaxed NaNb6Se8 crystal, computed with PBE-GGA.

Lattice parameters (Å, degrees): 9.8235 9.8235 12.2853 90.00 90.00 120.00
Space group R-3 (No. 148, hexagonal axes)
One atom of each set of equivalent atoms:
Na 0.0000 0.0000 0.0000
Nb 0.0191 0.1781 0.3906
Se 0.0000 0.0000 0.2281
Se 0.0107 0.3707 0.2420

Calculated values
As for the crystal system: trigonal. For the density of states at the Fermi level, the calculation gives 0.47 states/eV per atom. The total magnetic moment is 0.00 μB per formula unit.


#Q
A relaxed NaNb6Se8 crystal, computed with PBE-GGA.

Lattice parameters (Å, degrees): 10.0896 10.0896 3.5312 90.00 90.00 120.00
Space group P-3 (No. 147)
One atom of each set of equivalent atoms:
Na 0.0000 0.0000 0.0000
Nb 0.1064 0.6182 0.7508
Se 0.0576 0.3360 0.7485
Se 0.3333 0.6667 0.2504

Calculated values
As for the crystal system: trigonal. For the density of states at the Fermi level, the calculation gives 0.25 states/eV per atom. The total magnetic moment is 0.00 μB per formula unit.


Of them, #P has the lowest stability.


#P
A relaxed Na2Nb2Sn crystal, computed with PBE-GGA.

Lattice parameters (Å, degrees): 3.937 3.937 15.439 90.00 90.00 90.00
Space group I4/mmm (No. 139)
One atom of each set of equivalent atoms:
Na 0.000 0.500 0.250
Nb 0.000 0.000 0.074
Sn 0.000 0.000 0.500

Calculated values
As for the crystal system: tetragonal. For the density of states at the Fermi level, the calculation gives 0.54 states/eV per atom. The total magnetic moment is 0.24 μB per formula unit.


#Q
A relaxed Na2Nb2Sn crystal, computed with PBE-GGA.

Lattice parameters (Å, degrees): 6.979 6.979 5.514 90.00 90.00 90.00
Space group P4/mbm (No. 127)
One atom of each set of equivalent atoms:
Na 0.176 0.324 0.000
Nb 0.117 0.617 0.500
Sn 0.000 0.000 0.500

Calculated values
As for the crystal system: tetragonal. For the density of states at the Fermi level, the calculation gives 1.11 states/eV per atom. The total magnetic moment is 0.64 μB per formula unit.


Of them, #Q has the lowest stability.


#P
A relaxed NaSrNb crystal, computed with PBE-GGA.

Lattice parameters (Å, degrees): 10.586 5.884 6.823 90.00 105.39 90.00
Space group Cm (No. 8)
One atom of each set of equivalent atoms:
Na 0.000 0.000 0.000
Na 0.232 0.000 0.515
Sr 0.114 0.500 0.699
Sr 0.362 0.000 0.118
Nb 0.208 0.500 0.241
Nb 0.400 0.500 0.455

Calculated values
As for the crystal system: monoclinic. For the density of states at the Fermi level, the calculation gives 0.70 states/eV per atom. The total magnetic moment is 0.00 μB per formula unit.


#Q
A relaxed NaSrNb crystal, computed with PBE-GGA.

Lattice parameters (Å, degrees): 3.388 4.538 13.374 90.41 95.66 95.14
Space group P-1 (No. 2)
One atom of each set of equivalent atoms:
Na 0.211 0.246 0.415
Sr 0.371 0.266 0.801
Nb 0.109 0.759 0.976

Calculated values
As for the crystal system: triclinic. For the density of states at the Fermi level, the calculation gives 1.12 states/eV per atom. The total magnetic moment is 0.00 μB per formula unit.


Of them, #P has the lowest stability.